# Li2AlAu PBE optimized geometry
# - D(E_F) (states/eV/f.u.) = 1.2
# - spin magnetization (μB per atom) = 0.00
# - VASP energy (eV per cell) = -24.51
data_Li2AlAu
_symmetry_space_group_name_H-M 'C m m m'
_symmetry_Int_Tables_number 65
_symmetry_space_group_name_Hall '-C 2 2'
_cell_length_a 5.3786
_cell_length_b 8.3059
_cell_length_c 2.8558
_cell_angle_alpha 90.00
_cell_angle_beta 90.00
_cell_angle_gamma 90.00
loop_
_atom_site_label
_atom_site_type_symbol
_atom_site_fract_x
_atom_site_fract_y
_atom_site_fract_z
_atom_site_occupancy
Li1 Li 0.2500 0.2500 0.0000 1
Al1 Al 0.0000 0.0000 0.5000 1
Au1 Au 0.0000 0.5000 0.5000 1